No. 1
Computed, not measured: an optimized crystal structure of TmScCuRe at the PBE level of DFT.

Output
Fermi-level density of states = 2.7 states/eV/f.u.
E_form = -0.28 eV per formula unit

a = 6.6510 Å, b = 6.6510 Å, c = 6.6510 Å
α = 90.00°, β = 90.00°, γ = 90.00°
Closest atoms and distances in Å follow each position.
Space group F-43m (No. 216)
One atom of each set of equivalent atoms:
Tm (0.0000, 0.0000, 0.0000) x4  4 Re 2.88, 4 Cu 2.88
Sc (0.0000, 0.0000, 0.5000) x4  4 Re 2.88, 4 Cu 2.88
Cu (0.2500, 0.2500, 0.7500) x4  4 Tm 2.88, 4 Sc 2.88
Re (0.2500, 0.2500, 0.2500) x4  4 Tm 2.88, 4 Sc 2.88



No. 2
Computed, not measured: an optimized crystal structure of ScVCu2Re at the PBE level of DFT.

Output
Fermi-level density of states = 6.1 states/eV/f.u.
E_form = 8.77 eV per formula unit

a = 4.4217 Å, b = 4.4217 Å, c = 4.6853 Å
α = 90.00°, β = 90.00°, γ = 90.00°
Closest atoms and distances in Å follow each position.
Space group P4/mmm (No. 123)
One atom of each set of equivalent atoms:
Sc (0.0000, 0.0000, 0.0000) x1  4 Cu 2.21, 2 Re 2.34
V (0.5000, 0.5000, 0.5000) x1  4 Re 3.13, 8 Cu 3.22
Cu (0.0000, 0.5000, 0.0000) x2  2 Sc 2.21
Re (0.0000, 0.0000, 0.5000) x1  2 Sc 2.34



No. 3
Computed, not measured: an optimized crystal structure of ZrScCuRe at the PBE level of DFT.

Output
Fermi-level density of states = 3.0 states/eV/f.u.
E_form = -0.77 eV per formula unit

a = 6.5467 Å, b = 6.5467 Å, c = 6.5467 Å
α = 90.00°, β = 90.00°, γ = 90.00°
Closest atoms and distances in Å follow each position.
Space group F-43m (No. 216)
One atom of each set of equivalent atoms:
Zr (0.0000, 0.0000, 0.0000) x4  4 Re 2.83, 4 Cu 2.83
Sc (0.0000, 0.0000, 0.5000) x4  4 Cu 2.83, 4 Re 2.83
Cu (0.2500, 0.2500, 0.7500) x4  4 Zr 2.83, 4 Sc 2.83
Re (0.2500, 0.2500, 0.2500) x4  4 Zr 2.83, 4 Sc 2.83



No. 4
Computed, not measured: an optimized crystal structure of CuRe2Se at the PBE level of DFT.

Output
Uncorrected formation energy = 0.579 eV per atom
Fermi-level density of states = 2.7 states/eV/f.u.

a = 8.5135 Å, b = 2.8788 Å, c = 4.8802 Å
α = 90.00°, β = 99.80°, γ = 90.00°
Closest atoms and distances in Å follow each position.
Space group C2/m (No. 12)
One atom of each set of equivalent atoms:
Cu (0.0000, 0.0000, 0.0000) x2  6 Re 2.63-2.67, 4 Se 2.83, 2 Cu 2.88
Re (0.2484, 0.5000, 0.2481) x4  3 Se 2.62-2.70, 3 Cu 2.63-2.67, 6 Re 2.82-2.88
Se (0.0000, 0.5000, 0.5000) x2  6 Re 2.62-2.70, 4 Cu 2.83, 2 Se 2.88



No. 5
Computed, not measured: an optimized crystal structure of CuRe4Se at the PBE level of DFT.

Output
Uncorrected formation energy = 0.911 eV per atom
Fermi-level density of states = 5.7 states/eV/f.u.

a = 7.3716 Å, b = 7.3716 Å, c = 7.3716 Å
α = 90.00°, β = 90.00°, γ = 90.00°
Closest atoms and distances in Å follow each position.
Space group F-43m (No. 216)
One atom of each set of equivalent atoms:
Cu (0.0000, 0.0000, 0.0000) x4  12 Re 3.06, 4 Se 3.19
Re (0.1249, 0.1249, 0.6249) x16  6 Re 2.61
Se (0.2500, 0.2500, 0.2500) x4  12 Re 3.06, 4 Cu 3.19



No. 6
Computed, not measured: an optimized crystal structure of CuRe2Se at the PBE level of DFT.

Output
Uncorrected formation energy = 0.359 eV per atom
Fermi-level density of states = 2.5 states/eV/f.u.

a = 2.9499 Å, b = 2.9499 Å, c = 6.8919 Å
α = 90.00°, β = 90.00°, γ = 90.00°
Closest atoms and distances in Å follow each position.
Space group P4mm (No. 99)
One atom of each set of equivalent atoms:
Cu (0.0000, 0.0000, 0.0000) x1  4 Se 2.73, 4 Re 2.73, 4 Cu 2.95
Re (0.0000, 0.0000, 0.5034) x1  4 Se 2.66, 8 Re 2.69-2.95
Re (0.5000, 0.5000, 0.2566) x1  8 Re 2.69-2.95, 4 Cu 2.73
Se (0.5000, 0.5000, 0.7436) x1  4 Re 2.66, 4 Cu 2.73, 4 Se 2.95



No. 7
Computed, not measured: an optimized crystal structure of Cu2ReSe4 at the PBE level of DFT.

Output
Uncorrected formation energy = -0.144 eV per atom
Fermi-level density of states = 3.8 states/eV/f.u.

a = 5.4699 Å, b = 5.4699 Å, c = 5.8036 Å
α = 90.00°, β = 90.00°, γ = 90.00°
Closest atoms and distances in Å follow each position.
Space group P-42m (No. 111)
One atom of each set of equivalent atoms:
Cu (0.0000, 0.5000, 0.0000) x2  4 Se 2.45, 2 Re 2.73
Re (0.0000, 0.0000, 0.0000) x1  4 Se 2.37
Se (0.2375, 0.2375, 0.2584) x4  1 Re 2.37, 2 Cu 2.45



No. 8
Computed, not measured: an optimized crystal structure of CuRe2Se at the PBE level of DFT.

Output
Uncorrected formation energy = 0.790 eV per atom
Fermi-level density of states = 2.7 states/eV/f.u.

a = 5.3406 Å, b = 8.6942 Å, c = 2.8926 Å
α = 90.00°, β = 116.14°, γ = 90.00°
Closest atoms and distances in Å follow each position.
Space group C2/m (No. 12)
One atom of each set of equivalent atoms:
Cu (0.0000, 0.0000, 0.0000) x2  4 Re 2.63, 2 Se 2.67, 2 Cu 2.89
Re (0.2500, 0.2500, 0.5000) x4  2 Se 2.63, 2 Cu 2.63, 4 Re 2.67-2.89
Se (0.0000, 0.5000, 0.0000) x2  4 Re 2.63, 2 Cu 2.67, 2 Se 2.89



No. 9
Computed, not measured: an optimized crystal structure of CuReSe at the PBE level of DFT.

Output
Offset from the most stable computed form = 276 meV per atom
Uncorrected formation energy = 0.646 eV per atom
Fermi-level density of states = 1.1 states/eV/f.u.

a = 5.8836 Å, b = 5.8836 Å, c = 5.8836 Å
α = 90.00°, β = 90.00°, γ = 90.00°
Closest atoms and distances in Å follow each position.
Space group F-43m (No. 216)
One atom of each set of equivalent atoms:
Cu (0.0000, 0.0000, 0.0000) x4  4 Re 2.55
Re (0.2500, 0.2500, 0.2500) x4  4 Se 2.55, 4 Cu 2.55
Se (0.0000, 0.0000, 0.5000) x4  4 Re 2.55



No. 10
Computed, not measured: an optimized crystal structure of CuReSe at the PBE level of DFT.

Output
Offset from the most stable computed form = 52 meV per atom
Uncorrected formation energy = 0.423 eV per atom
Fermi-level density of states = 1.2 states/eV/f.u.

a = 2.9606 Å, b = 2.9606 Å, c = 11.5122 Å
α = 90.00°, β = 90.00°, γ = 90.00°
Closest atoms and distances in Å follow each position.
Space group I4mm (No. 107)
One atom of each set of equivalent atoms:
Cu (0.0000, 0.0000, 0.0000) x2  4 Re 2.67, 4 Cu 2.96
Re (0.0000, 0.0000, 0.6436) x2  4 Se 2.57, 4 Cu 2.67
Se (0.0000, 0.0000, 0.2732) x2  4 Re 2.57



No. 11
Computed, not measured: an optimized crystal structure of CuRe3Se at the PBE level of DFT.

Output
Offset from the most stable computed form = 0 meV per atom
Uncorrected formation energy = 1.888 eV per atom
Fermi-level density of states = 3.8 states/eV/f.u.

a = 4.5194 Å, b = 4.5194 Å, c = 4.5194 Å
α = 90.00°, β = 90.00°, γ = 90.00°
Closest atoms and distances in Å follow each position.
Space group Pm-3m (No. 221)
One atom of each set of equivalent atoms:
Cu (0.0000, 0.0000, 0.0000) x1  12 Re 3.20
Re (0.0000, 0.5000, 0.5000) x3  2 Se 2.26
Se (0.5000, 0.5000, 0.5000) x1  6 Re 2.26



No. 12
Computed, not measured: an optimized crystal structure of CuRe2Se at the PBE level of DFT.

Output
Uncorrected formation energy = 0.615 eV per atom
Fermi-level density of states = 4.0 states/eV/f.u.

a = 2.8881 Å, b = 2.8881 Å, c = 24.6017 Å
α = 90.00°, β = 90.00°, γ = 120.00°
Closest atoms and distances in Å follow each position.
Space group R-3m (No. 166, hexagonal axes)
One atom of each set of equivalent atoms:
Cu (0.0000, 0.0000, 0.0000) x3  6 Re 2.68, 6 Cu 2.89
Re (0.0000, 0.0000, 0.2480) x6  3 Se 2.60, 3 Cu 2.68, 6 Re 2.89
Se (0.0000, 0.0000, 0.5000) x3  6 Re 2.60, 6 Se 2.89



No. 13
Computed, not measured: an optimized crystal structure of CuReSe at the PBE level of DFT.

Output
Offset from the most stable computed form = 267 meV per atom
Uncorrected formation energy = 0.637 eV per atom
Fermi-level density of states = 2.4 states/eV/f.u.

a = 4.5209 Å, b = 4.5209 Å, c = 2.5834 Å
α = 90.00°, β = 90.00°, γ = 120.00°
Closest atoms and distances in Å follow each position.
Space group P-6m2 (No. 187)
One atom of each set of equivalent atoms:
Cu (0.0000, 0.0000, 0.0000) x1  2 Cu 2.58
Re (0.6667, 0.3333, 0.5000) x1  2 Re 2.58, 3 Se 2.61
Se (0.3333, 0.6667, 0.5000) x1  2 Se 2.58, 3 Re 2.61



No. 14
Computed, not measured: an optimized crystal structure of CuRe2Se at the PBE level of DFT.

Output
Uncorrected formation energy = 0.715 eV per atom
Fermi-level density of states = 1.8 states/eV/f.u.

a = 3.7914 Å, b = 3.7914 Å, c = 18.3717 Å
α = 90.00°, β = 90.00°, γ = 90.00°
Closest atoms and distances in Å follow each position.
Space group I-42d (No. 122)
One atom of each set of equivalent atoms:
Cu (0.0000, 0.0000, 0.0000) x4  4 Re 2.60, 4 Se 2.68
Re (0.2008, 0.2500, 0.1250) x8  2 Re 2.43, 2 Cu 2.60
Se (0.0000, 0.0000, 0.5000) x4  4 Cu 2.68, 4 Re 2.73



No. 15
Computed, not measured: an optimized crystal structure of CuRe2Se at the PBE level of DFT.

Output
Uncorrected formation energy = 0.559 eV per atom
Fermi-level density of states = 2.5 states/eV/f.u.

a = 8.7879 Å, b = 2.9260 Å, c = 4.7770 Å
α = 90.00°, β = 101.28°, γ = 90.00°
Closest atoms and distances in Å follow each position.
Space group Cm (No. 8)
One atom of each set of equivalent atoms:
Cu (0.0000, 0.0000, 0.0000) x2  3 Se 2.50-2.72, 5 Re 2.66-2.71
Re (0.0036, 0.5000, 0.5241) x2  5 Re 2.67-2.93, 4 Cu 2.71-2.89, 3 Se 2.80-2.95
Re (0.2490, 0.0000, 0.7617) x2  2 Se 2.56, 3 Cu 2.66-2.71, 3 Re 2.67-2.70
Se (0.2586, 0.5000, 0.2039) x2  3 Cu 2.50-2.72, 4 Re 2.56-2.80